[1]
First-principles (GGA-PBE) data for Tb2InOs after structural relaxation, as listed in Alexandria via LeMat-Bulk.

Properties
energy above the most stable polymorph in this dataset	0.1169	eV/atom
formation energy	-0.225	eV per atom
space-group type	Fm-3m

a b c (Å): 5.063 5.063 5.063
angles (deg): 60.00 60.00 60.00
Sites, in units of the cell vectors:
Tb1 0.250 0.250 0.250
Tb2 0.750 0.750 0.750
In1 0.500 0.500 0.500
Os1 0.000 0.000 0.000

[2]
First-principles (GGA-PBE) data for LaHfTeI2 after structural relaxation, as listed in Alexandria via LeMat-Bulk.

Properties
energy above the most stable polymorph in this dataset	0.0000	eV/atom
formation energy without anion corrections	-337	meV per atom
space-group type	P4/mmm

a b c (Å): 5.563 5.563 5.604
angles (deg): 90.00 90.00 90.00
Last column: magnetic moment on the atom in μB.
Sites, in units of the cell vectors:
I1 0.000 0.500 0.000  0.00
I2 0.500 0.000 0.000  0.00
La1 0.500 0.500 0.500  -0.43
Hf1 0.000 0.000 0.000  -0.16
Te1 0.000 0.000 0.500  0.01

[3]
First-principles (GGA-PBE) data for BaCuGeIr after structural relaxation, as listed in Alexandria via LeMat-Bulk.

Properties
formation energy	-0.254	eV per atom
space-group type	P4/nmm

a b c (Å): 4.116 4.116 11.456
angles (deg): 90.00 90.00 90.00
Sites, in units of the cell vectors:
Ge1 0.250 0.250 0.119
Ge2 0.750 0.750 0.881
Cu1 0.750 0.250 0.500
Cu2 0.250 0.750 0.500
Ba1 0.250 0.250 0.729
Ba2 0.750 0.750 0.271
Ir1 0.750 0.250 0.000
Ir2 0.250 0.750 0.000